FeB5 | GGA-PBE | optimized geometry

* space-group type: Cmmm (65)
* volume: 39.6 Å³/cell
* raw total energy: -37.4 eV per formula unit

a = 2.7661 Å, b = 3.0641 Å, c = 4.9172 Å
α = 108.15°, β = 90.00°, γ = 90.00°
Fractional positions:
B1 0.0000 0.6562 0.3125
B2 0.0000 0.3438 0.6875
B3 0.5000 0.5000 0.0000
B4 0.5000 0.1940 0.3881
B5 0.5000 0.8060 0.6119
Fe1 0.0000 0.0000 0.0000